Entry from Alexandria via LeMat-Bulk: a relaxed structure of Dy2YCd2 (PBE-GGA).

Results
E_form: -130 kJ/mol of formula units
Calculated density: 7.76 g/cm³
Excess energy over the best structure of this formula in the dataset: 0 meV per atom

Structure (CIF):
```
data_Dy2YCd2
_cell_length_a 3.729
_cell_length_b 5.339
_cell_length_c 13.866
_cell_angle_alpha 90.00
_cell_angle_beta 97.75
_cell_angle_gamma 90.00
_symmetry_space_group_name_H-M 'P 1 21/m 1'
_symmetry_Int_Tables_number 11
_symmetry_space_group_name_Hall '-P 2yb'
loop_
_atom_site_label
_atom_site_fract_x
_atom_site_fract_y
_atom_site_fract_z
Dy1 0.046 0.250 0.091
Dy2 0.236 0.250 0.472
Y1 0.149 0.750 0.297
Cd1 0.359 0.750 0.718
Cd2 0.449 0.250 0.898
```